No. 1
## SnTe2MoC (GGA-PBEsol)

Data for SnTe2MoC after structural relaxation.

Cell lengths 5.0692, 5.0692, 4.0413 Å; angles 90.00, 90.00, 90.00 degrees
Closest atoms and distances in Å follow each position.
Space group P4/mmm (No. 123)
Asymmetric unit:
Sn (0.0000, 0.0000, 0.0000) (multiplicity 1)  8 Te 3.24, 4 Mo 3.58
Te (0.0000, 0.5000, 0.5000) (multiplicity 2)  2 C 2.53
Mo (0.5000, 0.5000, 0.0000) (multiplicity 1)  2 C 2.02
C (0.5000, 0.5000, 0.5000) (multiplicity 1)  2 Mo 2.02

Values from the calculation:
Crystal system: tetragonal
Uncorrected energy: -28.4 eV per cell
Uncorrected formation energy: 864 meV/atom
V: 20.77 Å³/atom

No. 2
## DyNiSb2 (GGA-PBEsol)

Data for DyNiSb2 after structural relaxation.

Cell lengths 4.3008, 4.3008, 9.1999 Å; angles 90.00, 90.00, 90.00 degrees
Closest atoms and distances in Å follow each position.
Space group P4/nmm (No. 129, origin choice 2)
Asymmetric unit:
Dy (0.2500, 0.2500, 0.2370) (multiplicity 2)  4 Ni 3.06, 8 Sb 3.16-3.24
Ni (0.2500, 0.7500, 0.0000) (multiplicity 2)  4 Sb 2.52
Sb (0.2500, 0.2500, 0.8562) (multiplicity 2)  4 Ni 2.52
Sb (0.2500, 0.7500, 0.5000) (multiplicity 2)  4 Sb 3.04, 4 Dy 3.24

Values from the calculation:
Crystal system: tetragonal
Uncorrected energy: -46.4 eV per cell
Uncorrected formation energy: -734 meV/atom
V: 21.27 Å³/atom

Which value of uncorrected energy does entry 2 give?
-46.4 eV per cell

Look up the uncorrected energy of the second one.
-46.4 eV per cell

Which of these has the highest V?
DyNiSb2